1.
First-principles (PBE-GGA) data for crystalline LiLa2SnS at its relaxed geometry, as listed in Alexandria via LeMat-Bulk.

a = 5.5737 Å, b = 5.5737 Å, c = 4.5377 Å
α = 90.00°, β = 90.00°, γ = 90.00°
Space group P4/mmm (No. 123)
Asymmetric unit:
Li: 0.0000 0.0000 0.0000 [1 per cell]
La: 0.0000 0.5000 0.5000 [2 per cell]
Sn: 0.5000 0.5000 0.0000 [1 per cell]
S: 0.0000 0.0000 0.5000 [1 per cell]

Values from the calculation:
For the calculated total energy, the calculation gives -0.37347 Ry per atom.

=====

2.
First-principles (PBE-GGA) data for crystalline SrLiLaS3 at its relaxed geometry, as listed in Alexandria via LeMat-Bulk.

a = 8.6176 Å, b = 4.1226 Å, c = 8.7108 Å
α = 90.00°, β = 99.93°, γ = 90.00°
Space group P2_1/m (No. 11)
Asymmetric unit:
Sr: 0.1694 0.2500 0.2221 [2 per cell]
Li: 0.0835 0.2500 0.5837 [2 per cell]
La: 0.3394 0.7500 0.8200 [2 per cell]
S: 0.1140 0.2500 0.8627 [2 per cell]
S: 0.1955 0.7500 0.4990 [2 per cell]
S: 0.4214 0.7500 0.1617 [2 per cell]

Values from the calculation:
For the calculated total energy, the calculation gives -0.39793 Ry per atom.

=====

3.
First-principles (PBE-GGA) data for crystalline Sr3LiLa3S8 at its relaxed geometry, as listed in Alexandria via LeMat-Bulk.

a = 8.3468 Å, b = 8.3468 Å, c = 20.6723 Å
α = 90.00°, β = 90.00°, γ = 120.00°
Space group R-3m (No. 166, hexagonal axes)
Asymmetric unit:
Sr: 0.0000 0.5000 0.0000 [9 per cell]
Li: 0.0000 0.0000 0.5000 [3 per cell]
La: 0.0000 0.5000 0.5000 [9 per cell]
S: 0.0000 0.0000 0.2477 [6 per cell]
S: 0.0058 0.5029 0.2422 [18 per cell]

Values from the calculation:
For the calculated total energy, the calculation gives -0.41461 Ry per atom.

=====

4.
First-principles (PBE-GGA) data for crystalline Sr2LiLaS4 at its relaxed geometry, as listed in Alexandria via LeMat-Bulk.

a = 7.1392 Å, b = 4.2317 Å, c = 7.2319 Å
α = 90.00°, β = 108.83°, γ = 90.00°
Space group P2/m (No. 10)
Asymmetric unit:
Sr: 0.0000 0.0000 0.0000 [1 per cell]
Sr: 0.5000 0.5000 0.0000 [1 per cell]
Li: 0.0000 0.5000 0.5000 [1 per cell]
La: 0.5000 0.0000 0.5000 [1 per cell]
S: 0.2518 0.0000 0.7409 [2 per cell]
S: 0.2523 0.5000 0.2640 [2 per cell]

Values from the calculation:
For the calculated total energy, the calculation gives -0.38940 Ry per atom.

=====

5.
First-principles (PBE-GGA) data for crystalline SrLiLaS2 at its relaxed geometry, as listed in Alexandria via LeMat-Bulk.

a = 5.5060 Å, b = 5.5060 Å, c = 6.9835 Å
α = 90.00°, β = 90.00°, γ = 90.00°
Space group P4/mmm (No. 123)
Asymmetric unit:
Sr: 0.0000 0.0000 0.0000 [1 per cell]
Li: 0.5000 0.5000 0.0000 [1 per cell]
La: 0.0000 0.0000 0.5000 [1 per cell]
S: 0.0000 0.5000 0.5000 [2 per cell]

Values from the calculation:
For the calculated total energy, the calculation gives -0.27283 Ry per atom.

=====

6.
First-principles (PBE-GGA) data for crystalline LiLa2TaS6 at its relaxed geometry, as listed in Alexandria via LeMat-Bulk.

a = 6.8807 Å, b = 6.8807 Å, c = 16.8864 Å
α = 90.00°, β = 90.00°, γ = 120.00°
Space group R3 (No. 146, hexagonal axes)
Asymmetric unit:
Li: 0.0000 0.0000 0.0000 [3 per cell]
La: 0.0000 0.0000 0.2736 [3 per cell]
La: 0.0000 0.0000 0.7764 [3 per cell]
Ta: 0.0000 0.0000 0.4928 [3 per cell]
S: 0.0048 0.4135 0.2348 [9 per cell]
S: 0.0767 0.7194 0.0677 [9 per cell]

Values from the calculation:
For the calculated total energy, the calculation gives -0.47220 Ry per atom.

=====

7.
First-principles (PBE-GGA) data for crystalline LiLa2TbS5 at its relaxed geometry, as listed in Alexandria via LeMat-Bulk.

a = 4.0516 Å, b = 16.6547 Å, c = 12.0530 Å
α = 90.00°, β = 90.00°, γ = 90.00°
Space group Cmc2_1 (No. 36)
Asymmetric unit:
Li: 0.0000 0.0150 0.0000 [4 per cell]
La: 0.0000 0.3759 0.8185 [4 per cell]
La: 0.0000 0.3912 0.2041 [4 per cell]
Tb: 0.0000 0.3026 0.5219 [4 per cell]
S: 0.0000 0.9998 0.3027 [4 per cell]
S: 0.0000 0.1377 0.5190 [4 per cell]
S: 0.0000 0.1927 0.8669 [4 per cell]
S: 0.0000 0.2117 0.1789 [4 per cell]
S: 0.0000 0.4540 0.5873 [4 per cell]

Values from the calculation:
For the calculated total energy, the calculation gives -0.45007 Ry per atom.

=====

8.
First-principles (PBE-GGA) data for crystalline LiLa3Tb2S6 at its relaxed geometry, as listed in Alexandria via LeMat-Bulk.

a = 6.9557 Å, b = 12.0785 Å, c = 6.9974 Å
α = 90.00°, β = 109.44°, γ = 90.00°
Space group C2/m (No. 12)
Asymmetric unit:
Li: 0.0000 0.0000 0.0000 [2 per cell]
La: 0.0000 0.1659 0.5000 [4 per cell]
La: 0.0000 0.5000 0.5000 [2 per cell]
Tb: 0.0000 0.3339 0.0000 [4 per cell]
S: 0.2409 0.1644 0.2303 [8 per cell]
S: 0.2488 0.5000 0.2282 [4 per cell]

Values from the calculation:
For the calculated total energy, the calculation gives -0.45884 Ry per atom.